Entry w
HgS4: optimized geometry, PBE.

M_tot, μB/cell: 0.0

abc: 8.8002 8.0310 12.0607
angles: 90.00 90.00 90.00
Space group Pbcm (No. 57)
Symmetry-distinct sites (fractional):
Hg 0.0706 0.0883 0.2500
S 0.3096 0.5778 0.1205
S 0.4806 0.0865 0.1605

=====

Entry x
HgS4: optimized geometry, PBE.

M_tot, μB/cell: 4.6

abc: 5.0918 5.0918 5.0918
angles: 90.00 90.00 90.00
Space group Pm-3m (No. 221)
Symmetry-distinct sites (fractional):
Hg 0.0000 0.0000 0.0000
S 0.0000 0.0000 0.5000
S 0.5000 0.5000 0.5000

=====

Entry y
HgS4: optimized geometry, PBE.

M_tot, μB/cell: 0.0

abc: 6.8285 5.6096 9.8532
angles: 90.00 131.90 90.00
Space group P2_1/c (No. 14)
Symmetry-distinct sites (fractional):
Hg 0.0000 0.0000 0.0000
S 0.2767 0.0720 0.7762
S 0.2922 0.2055 0.9662

=====

Which structure is most stable, and how do the rest compare? From most to least stable: entry y, entry w, entry x.

=====

Entry w
HgSbS2: optimized geometry, PBE.

M_tot, μB/cell: 0.0

abc: 3.8832 3.8832 24.2141
angles: 90.00 90.00 120.00
Space group R-3m (No. 166, hexagonal axes)
Symmetry-distinct sites (fractional):
Hg 0.0000 0.0000 0.0000
Sb 0.0000 0.0000 0.5000
S 0.0000 0.0000 0.3953

=====

Entry x
HgSbS2: optimized geometry, PBE.

M_tot, μB/cell: 0.0

abc: 3.7168 3.7193 9.9882
angles: 100.60 90.06 119.96
Space group P1 (No. 1)
Symmetry-distinct sites (fractional):
Hg 0.0000 0.0000 0.0000
Sb 0.5036 0.9999 0.4999
S 0.2236 0.4391 0.6601
S 0.7836 0.5606 0.3397

=====

Which structure is most stable, and how do the rest compare? From most to least stable: entry x, entry w.